<w>
The following is a PBE calculation of a relaxed PmHo2Tl crystal, from Alexandria via LeMat-Bulk.

```
data_PmHo2Tl
_space_group_name_H-M_alt 'P 1 21/m 1'
_space_group_IT_number 11
_cell_length_a 4.703
_cell_length_b 4.824
_cell_length_c 11.187
_cell_angle_alpha 90.00
_cell_angle_beta 102.13
_cell_angle_gamma 90.00
loop_
_space_group_symop_operation_xyz
'x,y,z'
'-x,-y,-z'
'-x,y+1/2,-z'
'x,-y+1/2,z'
loop_
_atom_site_label
_atom_site_type_symbol
_atom_site_fract_x
_atom_site_fract_y
_atom_site_fract_z
Pm1 Pm 0.192 0.250 0.386
Ho1 Ho 0.056 0.750 0.113
Ho2 Ho 0.436 0.750 0.871
Tl1 Tl 0.337 0.250 0.675
```

Properties
The density of states at the Fermi level comes out at 7.8 states/eV/cell.


<x>
The following is a PBE calculation of a relaxed PmHo2Tl crystal, from Alexandria via LeMat-Bulk.

```
data_PmHo2Tl
_space_group_name_H-M_alt 'F m -3 m'
_space_group_IT_number 225
_space_group_name_Hall '-F 4 2 3'
_cell_length_a 7.754
_cell_length_b 7.754
_cell_length_c 7.754
_cell_angle_alpha 90.00
_cell_angle_beta 90.00
_cell_angle_gamma 90.00
loop_
_atom_site_label
_atom_site_type_symbol
_atom_site_fract_x
_atom_site_fract_y
_atom_site_fract_z
Pm1 Pm 0.000 0.000 0.000
Ho1 Ho 0.250 0.250 0.250
Tl1 Tl 0.000 0.000 0.500
```

Properties
The density of states at the Fermi level comes out at 22.1 states/eV/cell.


According to the calculations, the structures order from most to least stable as <w>, <x>.


<w>
The following is a PBE calculation of a relaxed PmHo3Tl2 crystal, from Alexandria via LeMat-Bulk.

```
data_PmHo3Tl2
_space_group_name_H-M_alt 'P m c 21'
_space_group_IT_number 26
_cell_length_a 5.112
_cell_length_b 10.007
_cell_length_c 6.833
_cell_angle_alpha 90.00
_cell_angle_beta 90.00
_cell_angle_gamma 90.00
loop_
_space_group_symop_operation_xyz
'x,y,z'
'-x,-y,z+1/2'
'-x,y,z'
'x,-y,z+1/2'
loop_
_atom_site_label
_atom_site_type_symbol
_atom_site_fract_x
_atom_site_fract_y
_atom_site_fract_z
Pm1 Pm 0.000 0.043 0.000
Ho1 Ho 0.000 0.317 0.620
Ho2 Ho 0.500 0.192 0.279
Ho3 Ho 0.500 0.456 0.905
Tl1 Tl 0.000 0.368 0.160
Tl2 Tl 0.500 0.136 0.739
```

Properties
The density of states at the Fermi level comes out at 12.1 states/eV/cell.


<x>
The following is a PBE calculation of a relaxed PmHo3Tl2 crystal, from Alexandria via LeMat-Bulk.

```
data_PmHo3Tl2
_space_group_name_H-M_alt 'C 1 2/m 1'
_space_group_IT_number 12
_cell_length_a 16.412
_cell_length_b 5.387
_cell_length_c 9.283
_cell_angle_alpha 90.00
_cell_angle_beta 119.43
_cell_angle_gamma 90.00
loop_
_space_group_symop_operation_xyz
'x,y,z'
'-x,-y,-z'
'-x,y,-z'
'x,-y,z'
'x+1/2,y+1/2,z'
'-x+1/2,-y+1/2,-z'
'-x+1/2,y+1/2,-z'
'x+1/2,-y+1/2,z'
loop_
_atom_site_label
_atom_site_type_symbol
_atom_site_fract_x
_atom_site_fract_y
_atom_site_fract_z
Pm1 Pm 0.131 0.000 0.171
Ho1 Ho 0.060 0.000 0.715
Ho2 Ho 0.116 0.500 0.542
Ho3 Ho 0.193 0.500 0.991
Tl1 Tl 0.019 0.500 0.173
Tl2 Tl 0.222 0.000 0.594
```

Properties
The density of states at the Fermi level comes out at 26.3 states/eV/cell.


According to the calculations, the structures order from most to least stable as <w>, <x>.


<w>
The following is a PBE calculation of a relaxed Pm3HoTl4 crystal, from Alexandria via LeMat-Bulk.

```
data_Pm3HoTl4
_space_group_name_H-M_alt 'P 4/m m m'
_space_group_IT_number 123
_space_group_name_Hall '-P 4 2'
_cell_length_a 3.843
_cell_length_b 3.843
_cell_length_c 15.513
_cell_angle_alpha 90.00
_cell_angle_beta 90.00
_cell_angle_gamma 90.00
loop_
_atom_site_label
_atom_site_type_symbol
_atom_site_fract_x
_atom_site_fract_y
_atom_site_fract_z
Pm1 Pm 0.000 0.000 0.000
Pm2 Pm 0.000 0.000 0.255
Ho1 Ho 0.000 0.000 0.500
Tl1 Tl 0.500 0.500 0.128
Tl2 Tl 0.500 0.500 0.383
```

Properties
The density of states at the Fermi level comes out at 6.2 states/eV/cell.


<x>
The following is a PBE calculation of a relaxed Pm3HoTl4 crystal, from Alexandria via LeMat-Bulk.

```
data_Pm3HoTl4
_space_group_name_H-M_alt 'I m m m'
_space_group_IT_number 71
_space_group_name_Hall '-I 2 2'
_cell_length_a 3.684
_cell_length_b 7.286
_cell_length_c 18.545
_cell_angle_alpha 90.00
_cell_angle_beta 90.00
_cell_angle_gamma 90.00
loop_
_atom_site_label
_atom_site_type_symbol
_atom_site_fract_x
_atom_site_fract_y
_atom_site_fract_z
Pm1 Pm 0.000 0.000 0.000
Pm2 Pm 0.000 0.500 0.218
Ho1 Ho 0.000 0.000 0.500
Tl1 Tl 0.000 0.285 0.374
```

Properties
The density of states at the Fermi level comes out at 12.5 states/eV/cell.


According to the calculations, the structures order from most to least stable as <w>, <x>.